Entry 1:
# HfP2Ru2

A relaxed HfP2Ru2 crystal (GGA-PBE, Alexandria via LeMat-Bulk).

Cell lengths 4.0460, 4.1380, 8.9793 Å; angles 94.91, 90.00, 90.00 degrees
Fractional positions:
1 Hf 0.2500 0.7162 0.2563
2 Hf 0.7500 0.2838 0.7437
3 P 0.2500 0.7769 0.6414
4 P 0.7500 0.2231 0.3586
5 P 0.2500 0.3430 0.0089
6 P 0.7500 0.6570 0.9911
7 Ru 0.2500 0.8398 0.9005
8 Ru 0.7500 0.1602 0.0995
9 Ru 0.2500 0.2509 0.4978
10 Ru 0.7500 0.7491 0.5022

Output
* formation enthalpy at 0 K: -0.7530 eV/atom
* space group: P2_1/m

***

Entry 2:
# HfPRu2

A relaxed HfPRu2 crystal (GGA-PBE, Alexandria via LeMat-Bulk).

Cell lengths 7.0112, 7.0112, 5.6412 Å; angles 51.58, 51.58, 90.00 degrees
Fractional positions:
1 Ru 0.5429 0.1250 0.2500
2 Ru 0.2071 0.6250 0.2500
3 Ru 0.3750 0.4571 0.7500
4 Ru 0.8750 0.7929 0.7500
5 Hf 0.0000 0.0000 0.0000
6 Hf 0.7500 0.2500 0.5000
7 P 0.5000 0.5000 0.0000
8 P 0.2500 0.7500 0.5000

Output
* formation enthalpy at 0 K: -0.3098 eV/atom
* space group: I-42d

***

Entry 3:
# HfP3Ru

A relaxed HfP3Ru crystal (GGA-PBE, Alexandria via LeMat-Bulk).

Cell lengths 4.8924, 4.8924, 4.8924 Å; angles 90.00, 90.00, 90.00 degrees
Each line ends with the local moment (μB).
Fractional positions:
1 Ru 0.5000 0.5000 0.5000  2.21
2 Hf 0.0000 0.0000 0.0000  0.02
3 P 0.0000 0.5000 0.0000  -0.12
4 P 0.0000 0.0000 0.5000  -0.16
5 P 0.5000 0.0000 0.0000  -0.07

Output
* formation enthalpy at 0 K: 1.0281 eV/atom
* space group: Pm-3m
* distance to the lowest polymorph of the same formula: 520 meV per atom

***

Number 1: final energy -8.6180 eV per atom. Number 2: final energy -8.7885 eV per atom. Number 3: final energy -6.0637 eV per atom.